Entry 1:
BI | PBE-GGA | optimized geometry

The structure belongs to space group P6_3mc (No. 186); the cell edges are 4.8192, 4.8192 and 5.6398 Å and the angles 90.00°, 90.00° and 120.00°. The inequivalent atoms are B at (0.3333, 0.6667, 0.0000) and I at (0.3333, 0.6667, 0.4276).

The raw total energy comes out at -2.45 eV/atom. The value obtained for the calculated density is 4.03 g/cm3. As for the relative energy among the computed polymorphs: 1447 meV/atom. For the raw formation energy, the calculation gives 3.33 eV per formula unit.


Entry 2:
B4I | PBE-GGA | optimized geometry

The structure belongs to space group Pm-3m (No. 221); the cell edges are 4.398, 4.398 and 4.398 Å and the angles 90.00°, 90.00° and 90.00°. The inequivalent atoms are B at (0.000, 0.000, 0.000), B at (0.000, 0.500, 0.500) and I at (0.500, 0.500, 0.500).

The raw total energy comes out at -2.20 eV/atom. The value obtained for the calculated density is 3.32 g/cm3. The density of states at the Fermi level comes out at 0.69 states/eV/atom. For the raw formation energy, the calculation gives 17.28 eV per formula unit.